--- w ---
This record from OQMD describes a relaxed structure of PdOF2. The functional is GGA-PBE.

Cell lengths 4.686, 4.686, 4.686 Å; angles 138.48, 133.43, 64.13 degrees
Fractional positions:
Pd  0.000  0.000  0.000
O  0.500  0.000  0.500
F  0.158  0.658  0.500
F  0.842  0.342  0.500

Properties
For the calculated volume, the calculation gives 12.22 A^3/atom.

=====

--- x ---
This record from OQMD describes a relaxed structure of PdOF2. The functional is GGA-PBE.

Cell lengths 4.747, 4.747, 6.444 Å; angles 111.10, 111.10, 45.37 degrees
Fractional positions:
Pd  0.005  0.005  0.256
Pd  0.995  0.995  0.744
O  0.489  0.489  0.296
O  0.511  0.511  0.704
F  0.153  0.153  0.076
F  0.170  0.170  0.589
F  0.830  0.830  0.411
F  0.847  0.847  0.924

Properties
For the calculated volume, the calculation gives 11.89 A^3/atom.

=====

--- y ---
This record from OQMD describes a relaxed structure of PdOF2. The functional is GGA-PBE.

Cell lengths 4.642, 4.642, 7.382 Å; angles 115.67, 115.67, 37.94 degrees
Fractional positions:
Pd  0.125  0.125  0.188
Pd  0.875  0.875  0.812
O  0.484  0.484  0.754
O  0.516  0.516  0.246
F  0.259  0.259  0.879
F  0.342  0.342  0.445
F  0.658  0.658  0.555
F  0.741  0.741  0.121

Properties
For the calculated volume, the calculation gives 10.87 A^3/atom.

=====

--- z ---
This record from OQMD describes a relaxed structure of PdOF2. The functional is GGA-PBE.

Cell lengths 4.740, 7.158, 5.045 Å; angles 90.00, 97.77, 90.00 degrees
Fractional positions:
Pd  0.018  0.000  0.187
Pd  0.457  0.209  0.593
Pd  0.543  0.709  0.407
Pd  0.982  0.500  0.813
O  0.150  0.257  0.794
O  0.292  0.944  0.492
O  0.708  0.444  0.508
O  0.850  0.757  0.206
F  0.214  0.264  0.256
F  0.263  0.576  0.136
F  0.281  0.612  0.648
F  0.302  0.909  0.986
F  0.698  0.409  0.014
F  0.719  0.112  0.352
F  0.737  0.076  0.864
F  0.786  0.764  0.744

Properties
For the calculated volume, the calculation gives 10.60 A^3/atom.

=====

Winner for stability: z